(1)
RbB2Mo | the Alexandria database | PBEsol | optimized geometry; size of the total moment = 1.6 Bohr magnetons per cell; energy above the lowest structure with this stoichiometry = 1265.0 meV per atom; calculated total energy = -4.387 eV/atom; DFT formation energy = 2.320 eV per atom
1.0
-2.541 -3.575 -0.379
0.192 -2.461 -3.645
1.808 -4.011 0.145
Mo Rb B
1 1 2
Direct
0.500 0.500 0.500
0.000 0.000 0.000
0.250 0.250 0.250
0.750 0.750 0.750


(2)
K2CrP | the Alexandria database | PBEsol | optimized geometry; size of the total moment = 8.1 Bohr magnetons per cell; calculated total energy = -4.389 eV/atom; DFT formation energy = 0.186 eV per atom
1.0
4.524 0.000 0.000
2.262 8.744 0.000
2.262 0.000 8.744
K P Cr
4 2 2
Direct
0.875 0.698 0.802
0.375 0.302 0.198
0.323 0.802 0.302
0.427 0.198 0.698
0.250 0.500 0.500
0.500 0.000 0.000
0.000 0.000 0.000
0.750 0.500 0.500


(3)
La7Nb3W4O30 | the Alexandria database | PBEsol | optimized geometry; size of the total moment = 0.0 Bohr magnetons per cell; calculated total energy = -9.343 eV/atom; ΔE_f (raw) = -128.51 eV per formula unit
1.0
-5.676 3.290 -1.911
-3.662 -8.063 4.816
4.762 6.727 5.892
Nb O La W
3 30 7 4
Direct
0.500 0.000 0.000
0.022 0.387 0.172
0.978 0.613 0.828
0.508 0.130 0.478
0.934 0.943 0.718
0.386 0.034 0.174
0.780 0.724 0.777
0.992 0.779 0.062
0.711 0.664 0.464
0.267 0.547 0.210
0.630 0.652 0.138
0.395 0.657 0.609
0.008 0.221 0.938
0.646 0.858 0.036
0.260 0.043 0.659
0.782 0.175 0.145
0.946 0.196 0.659
0.605 0.343 0.391
0.042 0.510 0.650
0.354 0.142 0.964
0.614 0.966 0.826
0.772 0.384 0.039
0.958 0.490 0.350
0.220 0.276 0.223
0.370 0.348 0.862
0.066 0.057 0.282
0.228 0.616 0.961
0.492 0.870 0.522
0.740 0.957 0.341
0.289 0.336 0.536
0.054 0.804 0.341
0.733 0.453 0.790
0.218 0.825 0.855
0.642 0.195 0.763
0.358 0.805 0.237
0.449 0.572 0.807
0.000 0.000 0.000
0.551 0.428 0.193
0.117 0.759 0.570
0.883 0.241 0.430
0.148 0.169 0.789
0.641 0.789 0.622
0.852 0.831 0.211
0.359 0.211 0.378


(4)
LiZnFe4O8 | the Alexandria database | PBEsol | optimized geometry; size of the total moment = 9.0 Bohr magnetons per cell; calculated total energy = -7.162 eV/atom; ΔE_f (raw) = -18.87 eV per formula unit
1.0
5.635 0.000 0.000
2.817 4.880 0.000
2.817 1.627 4.856
O Fe Zn Li
8 4 1 1
Direct
0.619 0.619 0.144
0.590 0.121 0.168
0.623 0.157 0.598
0.143 0.143 0.571
0.623 0.623 0.598
0.157 0.623 0.598
0.121 0.590 0.168
0.121 0.121 0.168
0.379 0.874 0.369
0.754 0.754 0.739
0.874 0.379 0.369
0.379 0.379 0.369
0.371 0.371 0.887
0.998 0.998 0.006


(5)
Li2MgBi2 | the Alexandria database | PBEsol | optimized geometry; size of the total moment = 0.0 Bohr magnetons per cell; calculated total energy = -3.004 eV/atom; DFT formation energy = -0.159 eV per atom
1.0
-4.105 0.875 1.521
-1.657 -3.204 -2.631
3.671 -2.930 5.044
Bi Li Mg
2 2 1
Direct
0.619 0.619 0.238
0.381 0.381 0.762
0.750 0.250 0.500
0.250 0.750 0.500
0.000 0.000 0.000


(6)
LaGa3O | the Alexandria database | PBEsol | optimized geometry; size of the total moment = 0.0 Bohr magnetons per cell; calculated total energy = -4.599 eV/atom; ΔE_f (raw) = -2.38 eV per formula unit
1.0
-3.265 1.287 -2.915
1.001 -3.548 -2.688
-3.025 -2.563 2.257
Ga O La
3 1 1
Direct
0.000 0.000 0.500
0.500 0.000 0.000
0.000 0.500 0.000
0.000 0.000 0.000
0.500 0.500 0.500


(7)
LiMg2Pb | the Alexandria database | PBEsol | optimized geometry; size of the total moment = 0.0 Bohr magnetons per cell; calculated total energy = -2.463 eV/atom; DFT formation energy = -0.113 eV per atom
1.0
-0.581 3.678 0.695
-3.615 -0.368 -1.073
-1.611 -1.369 5.898
Mg Pb Li
2 1 1
Direct
0.000 0.000 0.741
0.000 0.000 0.259
0.500 0.500 0.000
0.500 0.500 0.500


(8)
IrPt3 | the Alexandria database | PBEsol | optimized geometry; size of the total moment = 0.0 Bohr magnetons per cell; calculated total energy = -7.591 eV/atom; DFT formation energy = 0.088 eV per atom
1.0
-0.900 4.662 0.000
-4.819 -0.930 -2.465
-5.988 -1.154 12.141
Pt Ir
18 6
Direct
0.332 0.749 0.833
0.831 0.000 0.832
0.831 0.000 0.168
0.007 0.249 0.500
0.993 0.251 0.000
0.502 0.000 0.500
0.993 0.749 0.000
0.498 0.500 0.000
0.169 0.500 0.332
0.332 0.251 0.167
0.668 0.249 0.667
0.332 0.749 0.167
0.169 0.500 0.668
0.668 0.751 0.667
0.332 0.251 0.833
0.668 0.249 0.333
0.007 0.751 0.500
0.668 0.751 0.333
0.833 0.500 0.169
0.504 0.500 0.500
0.496 0.000 0.000
0.167 0.000 0.331
0.833 0.500 0.831
0.167 0.000 0.669


(9)
MgAsPt2 | the Alexandria database | PBEsol | optimized geometry; size of the total moment = 0.0 Bohr magnetons per cell; calculated total energy = -5.615 eV/atom; DFT formation energy = -0.428 eV per atom
1.0
-2.113 -2.629 0.772
1.944 -2.125 -1.917
2.992 -1.142 4.300
Pt Mg As
2 1 1
Direct
0.000 0.000 0.980
0.500 0.500 0.286
0.500 0.500 0.779
0.000 0.000 0.455


(10)
YSn6Ru4 | the Alexandria database | PBEsol | optimized geometry; size of the total moment = 0.0 Bohr magnetons per cell; calculated total energy = -6.971 eV/atom; DFT formation energy = -0.329 eV per atom
1.0
6.811 0.000 0.000
-3.406 5.949 0.001
0.000 -3.901 5.584
Y Sn Ru
1 6 4
Direct
0.000 0.000 0.000
0.000 0.000 0.500
0.500 0.000 0.000
0.117 0.586 0.117
0.531 0.414 0.883
0.883 0.414 0.531
0.469 0.586 0.469
0.596 0.846 0.250
0.750 0.154 0.750
0.404 0.154 0.404
0.250 0.846 0.596


(11)
FeSb2TeN | the Alexandria database | PBEsol | optimized geometry; size of the total moment = 0.5 Bohr magnetons per cell; energy above the lowest structure with this stoichiometry = 451.8 meV per atom; calculated total energy = -4.735 eV/atom; ΔE_f (raw) = 6.46 eV per formula unit
1.0
4.850 0.000 0.000
0.000 4.850 0.000
0.000 0.000 4.877
Sb N Te Fe
2 1 1 1
Direct
0.000 0.500 0.000
0.500 0.000 0.000
0.500 0.500 0.500
0.000 0.000 0.500
0.000 0.000 0.000


(12)
Li2AgMo | the Alexandria database | PBEsol | optimized geometry; size of the total moment = 0.8 Bohr magnetons per cell; energy above the lowest structure with this stoichiometry = 0.0 meV per atom; calculated total energy = -4.378 eV/atom; DFT formation energy = 0.375 eV per atom
1.0
2.568 0.000 0.012
0.000 4.616 0.000
-0.259 0.000 5.145
Mo Li Ag
1 2 1
Direct
0.500 0.500 0.000
0.869 0.000 0.757
0.131 0.000 0.243
0.000 0.500 0.500